Record 1
Compound: Mg2Tl
Source: Alexandria
Functional: PBE
Structure: relaxed

Calculated values
V: 80.1 Å³/f.u.
Calculated formation energy: 101 meV per atom
Size of the total moment: 0.000 μB/atom

Cell: 3.2823 4.6546 20.9758 Å, 90.00 90.00 90.00°
Closest atoms and distances in Å follow each position.
Space group Imma (No. 74)
Inequivalent atoms, fractional coordinates:
1 Mg 0.0000 0.2500 0.0435 (multiplicity 4)  5 Mg 2.96-3.28, 4 Tl 3.17
2 Mg 0.0000 0.2500 0.1886 (multiplicity 4)  5 Mg 3.04-3.28, 4 Tl 3.30
3 Tl 0.0000 0.2500 0.6094 (multiplicity 4)  8 Mg 3.17-3.30, 2 Tl 3.28

=====

Record 2
Compound: V4Ir5Ru
Source: Alexandria
Functional: PBE
Structure: relaxed

Calculated values
V: 156.0 Å³/f.u.
Relative energy among the computed polymorphs: 442.6 meV/atom
Calculated formation energy: 45 meV per atom
Size of the total moment: 0.000 μB/atom

Cell: 9.9884 8.2159 4.1793 Å, 90.00 114.57 90.00°
Closest atoms and distances in Å follow each position.
Space group C2/m (No. 12)
Inequivalent atoms, fractional coordinates:
1 V 0.0000 0.1826 0.0000 (multiplicity 4)  4 Ir 2.57-2.69, 1 Ru 2.61
2 V 0.1601 0.5000 0.6604 (multiplicity 4)  2 Ru 2.54-2.55, 4 Ir 2.63
3 Ir 0.0000 0.0000 0.5000 (multiplicity 2)  4 Ir 2.55, 4 V 2.57
4 Ir 0.2407 0.1606 0.7408 (multiplicity 8)  4 Ir 2.55-2.64, 3 V 2.63-2.69, 1 Ru 2.70
5 Ru 0.0000 0.5000 0.0000 (multiplicity 2)  6 V 2.54-2.61, 4 Ir 2.70

=====

Record 3
Compound: Ac5Al2In
Source: Alexandria
Functional: PBE
Structure: relaxed

Calculated values
V: 290.2 Å³/f.u.
Calculated formation energy: -265 meV per atom
Size of the total moment: 0.000 μB/atom

Cell: 8.4445 8.4445 16.2759 Å, 90.00 90.00 90.00°
Closest atoms and distances in Å follow each position.
Space group I4/mcm (No. 140)
Inequivalent atoms, fractional coordinates:
1 Ac 0.0000 0.0000 0.0000 (multiplicity 4)  4 Al 3.41
2 Ac 0.1729 0.3271 0.1459 (multiplicity 16)  3 Al 3.42-3.49, 2 In 3.55
3 Al 0.1128 0.3872 0.5000 (multiplicity 8)  1 Al 2.69
4 In 0.0000 0.0000 0.2500 (multiplicity 4)  8 Ac 3.55

=====

Record 4
Compound: Ho6TlSi2S3
Source: Alexandria
Functional: PBE
Structure: relaxed

Calculated values
V: 281.2 Å³/f.u.
Size of the total moment: 0.000 μB/atom
ΔE_f (raw): -1.256 eV per atom

Cell: 17.9621 4.0134 8.2189 Å, 90.00 108.31 90.00°
Closest atoms and distances in Å follow each position.
Space group C2/m (No. 12)
Inequivalent atoms, fractional coordinates:
1 Ho 0.0058 0.0000 0.2263 (multiplicity 4)  3 S 2.72-2.76, 1 Si 2.90, 2 Tl 3.04
2 Ho 0.1700 0.5000 0.0711 (multiplicity 4)  3 Si 2.86-2.89, 3 S 2.90-2.92
3 Ho 0.1749 0.5000 0.5811 (multiplicity 4)  3 S 2.69-2.88, 2 Si 2.86, 1 Tl 3.00
4 Tl 0.0000 0.5000 0.5000 (multiplicity 2)  6 Ho 3.00-3.04
5 Si 0.1607 0.0000 0.8175 (multiplicity 4)  6 Ho 2.86-2.90
6 S 0.0000 0.5000 0.0000 (multiplicity 2)  6 Ho 2.72-2.92
7 S 0.1677 0.0000 0.3247 (multiplicity 4)  6 Ho 2.69-2.90

=====

Record 5
Compound: Ca3TlIn
Source: Alexandria
Functional: PBE
Structure: relaxed

Calculated values
V: 170.0 Å³/f.u.
Relative energy among the computed polymorphs: 64.2 meV/atom
Calculated formation energy: -316 meV per atom
Size of the total moment: 0.000 μB/atom

Cell: 6.6173 5.4638 9.4088 Å, 90.00 91.86 90.00°
Closest atoms and distances in Å follow each position.
Space group Pm (No. 6)
Inequivalent atoms, fractional coordinates:
1 Ca 0.0000 0.0000 0.0000 (multiplicity 1)  4 Tl 3.30-3.36, 2 In 3.36
2 Ca 0.0010 0.5000 0.5014 (multiplicity 1)  3 In 3.30-3.34, 1 Tl 3.34
3 Ca 0.3202 0.5000 0.8318 (multiplicity 1)  3 In 3.30-3.36, 3 Tl 3.36-3.38
4 Ca 0.3635 0.0000 0.3308 (multiplicity 1)  3 Tl 3.27-3.34, 2 In 3.29, 1 Ca 3.62
5 Ca 0.6379 0.0000 0.6702 (multiplicity 1)  1 Tl 3.26, 4 In 3.27-3.33, 1 Ca 3.62
6 Ca 0.6762 0.5000 0.1703 (multiplicity 1)  4 Tl 3.29-3.35, 2 In 3.36-3.38
7 Tl 0.1729 0.5000 0.1720 (multiplicity 1)  8 Ca 3.29-3.38
8 Tl 0.5015 0.0000 0.0001 (multiplicity 1)  8 Ca 3.26-3.36
9 In 0.5024 0.5000 0.5022 (multiplicity 1)  8 Ca 3.27-3.36
10 In 0.8211 0.5000 0.8295 (multiplicity 1)  8 Ca 3.30-3.38, 1 In 3.67

=====

Record 6
Compound: Sr2TcOs
Source: Alexandria
Functional: PBE
Structure: relaxed

Calculated values
V: 89.1 Å³/f.u.
Relative energy among the computed polymorphs: 801.1 meV/atom
Calculated formation energy: 1297 meV per atom
Size of the total moment: 0.218 μB/atom

Cell: 3.1971 3.1971 30.1868 Å, 90.00 90.00 120.00°
Closest atoms and distances in Å follow each position.
Space group R-3m (No. 166, hexagonal axes)
Inequivalent atoms, fractional coordinates:
1 Sr 0.0000 0.0000 0.2478 (multiplicity 6)  3 Os 3.07, 3 Tc 3.18, 6 Sr 3.20
2 Tc 0.0000 0.0000 0.0000 (multiplicity 3)  6 Sr 3.18, 6 Tc 3.20
3 Os 0.0000 0.0000 0.5000 (multiplicity 3)  6 Sr 3.07, 6 Os 3.20

=====

Record 7
Compound: Ca2BeHAu6
Source: Alexandria
Functional: PBE
Structure: relaxed

Calculated values
V: 183.7 Å³/f.u.
Size of the total moment: 0.000 μB/atom
Final energy: -3.430 eV/atom

Cell: 9.0078 9.0203 6.1557 Å, 90.00 132.74 90.00°
Closest atoms and distances in Å follow each position.
Space group C2/m (No. 12)
Inequivalent atoms, fractional coordinates:
1 Ca 0.0000 0.2285 0.0000 (multiplicity 4)  12 Au 3.09-3.31
2 Be 0.0000 0.0000 0.5000 (multiplicity 2)  6 Au 2.34-2.37
3 H 0.0000 0.5000 0.5000 (multiplicity 2)  6 Au 2.15-2.18
4 Au 0.0000 0.2594 0.5000 (multiplicity 4)  1 H 2.17, 1 Be 2.34
5 Au 0.2218 0.5000 0.4650 (multiplicity 4)  1 H 2.15, 1 Be 2.36
6 Au 0.2229 0.5000 0.9817 (multiplicity 4)  1 H 2.18, 1 Be 2.37

=====

Record 8
Compound: Rb2TbSmO4
Source: Alexandria
Functional: PBE
Structure: relaxed

Calculated values
V: 145.6 Å³/f.u.
Size of the total moment: 0.000 μB/atom
ΔE_f (raw): -2.642 eV per atom

Cell: 6.1900 3.5738 6.8984 Å, 90.00 107.38 90.00°
Closest atoms and distances in Å follow each position.
Space group P2/m (No. 10)
Inequivalent atoms, fractional coordinates:
1 Rb 0.0000 0.0000 0.0000 (multiplicity 1)  6 O 2.94-2.95
2 Rb 0.5000 0.5000 0.0000 (multiplicity 1)  6 O 2.97-2.98
3 Tb 0.0000 0.5000 0.5000 (multiplicity 1)  6 O 2.35-2.36
4 Sm 0.5000 0.0000 0.5000 (multiplicity 1)  6 O 2.39
5 O 0.2212 0.0000 0.6770 (multiplicity 2)  2 Tb 2.36, 1 Sm 2.39
6 O 0.2695 0.5000 0.3221 (multiplicity 2)  1 Tb 2.35, 2 Sm 2.39

=====

Record 9
Compound: ZrTe2Os
Source: Alexandria
Functional: PBE
Structure: relaxed

Calculated values
V: 81.3 Å³/f.u.
Relative energy among the computed polymorphs: 471.3 meV/atom
Size of the total moment: 0.000 μB/atom
ΔE_f (raw): 0.169 eV per atom

Cell: 6.8781 6.8781 6.8781 Å, 90.00 90.00 90.00°
Closest atoms and distances in Å follow each position.
Space group Fm-3m (No. 225)
Inequivalent atoms, fractional coordinates:
1 Zr 0.0000 0.0000 0.0000 (multiplicity 4)  8 Te 2.98
2 Te 0.2500 0.2500 0.2500 (multiplicity 8)  4 Zr 2.98, 4 Os 2.98
3 Os 0.0000 0.0000 0.5000 (multiplicity 4)  8 Te 2.98

=====

Record 10
Compound: Pr4Sm4Tm
Source: Alexandria
Functional: PBE
Structure: relaxed

Calculated values
V: 309.8 Å³/f.u.
Relative energy among the computed polymorphs: 2.4 meV/atom
Calculated formation energy: 17 meV per atom
Size of the total moment: 0.000 μB/atom

Cell: 5.1728 8.1547 8.1687 Å, 107.61 90.03 108.42°
Closest atoms and distances in Å follow each position.
Space group P-1 (No. 2)
Inequivalent atoms, fractional coordinates:
1 Pr 0.1647 0.3297 0.0004 (multiplicity 2)  5 Sm 3.62-3.67, 2 Tm 3.63, 5 Pr 3.65-3.70
2 Pr 0.2784 0.5572 0.6667 (multiplicity 2)  1 Tm 3.63, 5 Pr 3.65-3.69, 6 Sm 3.65-3.68
3 Sm 0.0546 0.1095 0.3339 (multiplicity 2)  5 Pr 3.62-3.66, 5 Sm 3.62-3.66, 2 Tm 3.66
4 Sm 0.3902 0.7804 0.3314 (multiplicity 2)  5 Sm 3.62-3.66, 1 Tm 3.63, 6 Pr 3.64-3.68
5 Tm 0.5000 0.0000 0.0000 (multiplicity 1)  6 Sm 3.63-3.66, 6 Pr 3.63

=====

Record 11
Compound: ScNb3B
Source: Alexandria
Functional: PBE
Structure: relaxed

Calculated values
V: 101.0 Å³/f.u.
Relative energy among the computed polymorphs: 2337.5 meV/atom
Calculated formation energy: 2364 meV per atom
Size of the total moment: 0.000 μB/atom

Cell: 4.6566 4.6566 4.6566 Å, 90.00 90.00 90.00°
Closest atoms and distances in Å follow each position.
Space group Pm-3m (No. 221)
Inequivalent atoms, fractional coordinates:
1 Sc 0.0000 0.0000 0.0000 (multiplicity 1)  6 Nb 2.33
2 Nb 0.0000 0.0000 0.5000 (multiplicity 3)  2 Sc 2.33
3 B 0.5000 0.5000 0.5000 (multiplicity 1)  12 Nb 3.29